1.
! GGA-PBE Sn2BSb, relaxed; values from VASP
&SYSTEM
  ibrav = 0, nat = 4, ntyp = 3
/
ATOMIC_SPECIES
Sn 118.71 Sn.upf
B 10.81 B.upf
Sb 121.76 Sb.upf
CELL_PARAMETERS angstrom
0.000 3.597 3.597
3.597 0.000 3.597
3.597 3.597 0.000
ATOMIC_POSITIONS angstrom
Sn 1.798 1.798 1.798
Sn 5.395 5.395 5.395
B 0.000 0.000 0.000
Sb 3.597 3.597 3.597
! formation energy without anion corrections	0.981	eV per atom
! E above lowest polymorph	0.717	eV/atom
! Fermi-level density of states	0.899	states/eV per atom



2.
! GGA-PBE TiBe3As, relaxed; values from VASP
&SYSTEM
  ibrav = 0, nat = 5, ntyp = 3
/
ATOMIC_SPECIES
Ti 47.87 Ti.upf
Be 9.01 Be.upf
As 74.92 As.upf
CELL_PARAMETERS angstrom
4.204 0.000 0.000
0.000 4.204 0.000
0.000 0.000 4.204
ATOMIC_POSITIONS angstrom
Ti 0.000 0.000 0.000
Be 0.000 2.102 2.102
Be 2.102 0.000 2.102
Be 2.102 2.102 0.000
As 2.102 2.102 2.102
! E above lowest polymorph	0.000	eV/atom
! Fermi-level density of states	0.727	states/eV per atom
! formation energy from the elements	84.8	kJ/mol of atoms



3.
! GGA-PBE ReSbP2, relaxed; values from VASP
&SYSTEM
  ibrav = 0, nat = 4, ntyp = 3
/
ATOMIC_SPECIES
Re 186.21 Re.upf
Sb 121.76 Sb.upf
P 30.97 P.upf
CELL_PARAMETERS angstrom
1.592 -2.521 0.000
1.592 2.521 0.000
0.000 0.000 9.147
ATOMIC_POSITIONS angstrom
Re 0.000 0.000 0.000
Sb 0.000 0.000 4.574
P 1.592 0.000 1.819
P 1.592 0.000 7.329
! formation energy without anion corrections	0.494	eV per atom
! Fermi-level density of states	0.828	states/eV per atom



4.
! GGA-PBE AlB2P, relaxed; values from VASP
&SYSTEM
  ibrav = 0, nat = 8, ntyp = 3
/
ATOMIC_SPECIES
Al 26.98 Al.upf
B 10.81 B.upf
P 30.97 P.upf
CELL_PARAMETERS angstrom
4.029 0.000 0.000
-0.088 4.218 0.000
-0.232 -0.284 6.749
ATOMIC_POSITIONS angstrom
Al 0.000 0.000 0.000
Al 1.686 1.608 4.169
B 0.812 0.813 2.112
B 2.201 1.829 2.028
B 3.689 1.823 1.257
B 3.678 1.812 2.976
P 0.806 3.156 2.149
P 1.698 3.722 5.448
! E above lowest polymorph	0.041	eV/atom
! Fermi-level density of states	0.003	states/eV per atom
! formation energy from the elements	5.7	kJ/mol of atoms



5.
! GGA-PBE NbRu4W, relaxed; values from VASP
&SYSTEM
  ibrav = 0, nat = 12, ntyp = 3
/
ATOMIC_SPECIES
Nb 92.91 Nb.upf
Ru 101.07 Ru.upf
W 183.84 W.upf
CELL_PARAMETERS angstrom
8.673 0.000 0.000
0.000 2.773 0.000
0.000 0.000 7.512
ATOMIC_POSITIONS angstrom
Nb 2.168 0.000 1.349
Nb 6.505 0.000 6.163
Ru 0.000 0.000 0.000
Ru 0.088 1.386 2.468
Ru 2.168 1.386 6.461
Ru 4.248 1.386 2.468
Ru 4.336 0.000 0.000
Ru 4.425 1.386 5.044
Ru 6.505 1.386 1.051
Ru 8.585 1.386 5.044
W 2.168 0.000 4.118
W 6.505 0.000 3.393
! Fermi-level density of states	0.999	states/eV per atom
! formation energy from the elements	5.9	kJ/mol of atoms



6.
! GGA-PBE Nd2Ga3Rh4, relaxed; values from VASP
&SYSTEM
  ibrav = 0, nat = 18, ntyp = 3
/
ATOMIC_SPECIES
Nd 144.24 Nd.upf
Ga 69.72 Ga.upf
Rh 102.91 Rh.upf
CELL_PARAMETERS angstrom
2.855 -7.684 0.000
2.855 7.684 0.000
0.000 0.000 7.412
ATOMIC_POSITIONS angstrom
Nd 2.855 6.018 6.797
Nd 2.855 1.666 3.091
Nd 2.855 -1.666 4.321
Nd 2.855 -6.018 0.615
Ga 0.000 0.000 3.706
Ga 1.428 3.502 5.559
Ga 1.428 -3.502 1.853
Ga 2.855 0.000 0.000
Ga 4.283 3.502 5.559
Ga 4.283 -3.502 1.853
Rh 2.855 4.925 3.859
Rh 1.428 0.977 5.559
Rh 1.428 -0.977 1.853
Rh 2.855 2.759 0.153
Rh 2.855 -2.759 7.259
Rh 4.283 0.977 5.559
Rh 4.283 -0.977 1.853
Rh 2.855 -4.925 3.553
! Fermi-level density of states	0.333	states/eV per atom
! formation energy from the elements	-78.3	kJ/mol of atoms



7.
! GGA-PBE PmPr2Nd4Mg, relaxed; values from VASP
&SYSTEM
  ibrav = 0, nat = 8, ntyp = 4
/
ATOMIC_SPECIES
Pm 145.00 Pm.upf
Pr 140.91 Pr.upf
Nd 144.24 Nd.upf
Mg 24.30 Mg.upf
CELL_PARAMETERS angstrom
5.117 0.000 0.000
0.000 5.099 0.000
-0.009 0.000 10.385
ATOMIC_POSITIONS angstrom
Pm 0.000 0.000 0.000
Pr -0.004 0.000 5.193
Pr 2.558 2.550 0.000
Nd -0.001 2.550 2.631
Nd 5.109 2.550 7.754
Nd 2.558 0.000 2.637
Nd 2.550 0.000 7.748
Mg 2.554 2.550 5.193
! Fermi-level density of states	1.333	states/eV per atom
! formation energy from the elements	0.7	kJ/mol of atoms



8.
! GGA-PBE Cs2KSbS4, relaxed; values from VASP
&SYSTEM
  ibrav = 0, nat = 16, ntyp = 4
/
ATOMIC_SPECIES
Cs 132.91 Cs.upf
K 39.10 K.upf
Sb 121.76 Sb.upf
S 32.06 S.upf
CELL_PARAMETERS angstrom
0.000 7.120 13.592
3.597 0.000 13.592
3.597 7.120 0.000
ATOMIC_POSITIONS angstrom
Cs 2.697 5.340 1.736
Cs 4.496 8.900 8.532
Cs 2.697 5.340 18.652
Cs 4.496 8.900 25.449
K 0.899 1.780 3.398
K 6.294 12.460 23.786
Sb 2.697 5.340 10.194
Sb 4.496 8.900 16.990
S 4.003 3.882 8.853
S 4.003 6.798 11.535
S 5.801 7.442 18.331
S 5.801 10.358 15.649
S 1.392 3.882 11.535
S 1.392 6.798 8.853
S 3.190 7.442 15.649
S 3.190 10.358 18.331
! formation energy without anion corrections	-0.787	eV per atom
! Fermi-level density of states	0.000	states/eV per atom



9.
! GGA-PBE RbCd12Hg6, relaxed; values from VASP
&SYSTEM
  ibrav = 0, nat = 19, ntyp = 3
/
ATOMIC_SPECIES
Rb 85.47 Rb.upf
Cd 112.41 Cd.upf
Hg 200.59 Hg.upf
CELL_PARAMETERS angstrom
6.053 3.495 3.996
-6.053 3.495 3.996
0.000 -6.989 3.996
ATOMIC_POSITIONS angstrom
Rb 0.000 0.000 0.000
Cd -1.565 -0.904 3.537
Cd -1.631 -2.826 5.994
Cd -3.263 0.000 5.994
Cd 1.565 -0.904 3.537
Cd 0.000 1.808 3.537
Cd 1.631 -2.826 5.994
Cd -1.631 2.826 5.994
Cd 0.000 -1.808 8.452
Cd -1.565 0.904 8.452
Cd 3.263 0.000 5.994
Cd 1.631 2.826 5.994
Cd 1.565 0.904 8.452
Hg 0.000 -3.552 3.509
Hg -3.076 1.776 3.509
Hg -3.076 -1.776 8.479
Hg 3.076 1.776 3.509
Hg 3.076 -1.776 8.479
Hg 0.000 3.552 8.479
! E above lowest polymorph	0.024	eV/atom
! Fermi-level density of states	0.350	states/eV per atom
! formation energy from the elements	2.5	kJ/mol of atoms



10.
! GGA-PBE CdAsSe3, relaxed; values from VASP
&SYSTEM
  ibrav = 0, nat = 5, ntyp = 3
/
ATOMIC_SPECIES
Cd 112.41 Cd.upf
As 74.92 As.upf
Se 78.96 Se.upf
CELL_PARAMETERS angstrom
5.157 0.000 0.000
0.000 5.157 0.000
0.000 0.000 5.157
ATOMIC_POSITIONS angstrom
Cd 0.000 0.000 0.000
As 2.578 2.578 2.578
Se 0.000 0.000 2.578
Se 0.000 2.578 0.000
Se 2.578 0.000 0.000
! formation energy without anion corrections	0.798	eV per atom
! E above lowest polymorph	1.049	eV/atom
! Fermi-level density of states	1.349	states/eV per atom



11.
! GGA-PBE Na2Hf2AlS6, relaxed; values from VASP
&SYSTEM
  ibrav = 0, nat = 11, ntyp = 4
/
ATOMIC_SPECIES
Na 22.99 Na.upf
Hf 178.49 Hf.upf
Al 26.98 Al.upf
S 32.06 S.upf
CELL_PARAMETERS angstrom
3.160 -5.474 0.000
3.160 5.474 0.000
-2.142 0.000 6.780
ATOMIC_POSITIONS angstrom
Na 3.160 3.632 0.000
Na 3.160 -3.632 0.000
Hf 2.089 1.833 3.390
Hf 2.089 -1.833 3.390
Al -1.071 0.000 3.390
S -0.052 1.759 4.806
S 0.932 0.000 2.004
S -0.052 -1.759 4.806
S 4.230 1.759 1.974
S 3.247 0.000 4.777
S 4.230 -1.759 1.974
! formation energy without anion corrections	-1.393	eV per atom
! Fermi-level density of states	0.240	states/eV per atom



12.
! GGA-PBE Sr2TlGaO5, relaxed; values from VASP
&SYSTEM
  ibrav = 0, nat = 18, ntyp = 4
/
ATOMIC_SPECIES
Sr 87.62 Sr.upf
Tl 204.38 Tl.upf
Ga 69.72 Ga.upf
O 16.00 O.upf
CELL_PARAMETERS angstrom
1.690 -7.830 0.000
1.690 7.830 0.000
0.000 0.000 10.191
ATOMIC_POSITIONS angstrom
Sr 1.690 6.135 5.095
Sr 1.690 5.990 1.265
Sr 1.690 -5.990 6.360
Sr 1.690 -6.135 0.000
Tl 1.690 4.354 8.559
Tl 1.690 -4.354 3.464
Ga 1.690 0.777 2.773
Ga 1.690 -0.777 7.869
O 1.690 7.221 8.757
O 1.690 3.325 5.008
O 1.690 2.607 2.116
O 1.690 2.175 8.330
O 1.690 0.025 1.088
O 1.690 -0.025 6.184
O 1.690 -2.175 3.234
O 1.690 -2.607 7.212
O 1.690 -3.325 10.103
O 1.690 -7.221 3.662
! formation energy without anion corrections	-1.965	eV per atom



13.
! GGA-PBE RbSeNF2, relaxed; values from VASP
&SYSTEM
  ibrav = 0, nat = 5, ntyp = 4
/
ATOMIC_SPECIES
Rb 85.47 Rb.upf
Se 78.96 Se.upf
N 14.01 N.upf
F 19.00 F.upf
CELL_PARAMETERS angstrom
5.267 0.000 0.000
0.000 5.267 0.000
0.000 0.000 5.490
ATOMIC_POSITIONS angstrom
Rb 0.000 0.000 0.000
Se 2.633 2.633 2.745
N 0.000 0.000 2.745
F 0.000 2.633 0.000
F 2.633 0.000 0.000
! formation energy without anion corrections	0.486	eV per atom
! E above lowest polymorph	1.354	eV/atom
! Fermi-level density of states	0.709	states/eV per atom



14.
! GGA-PBE BaPrZnIn, relaxed; values from VASP
&SYSTEM
  ibrav = 0, nat = 4, ntyp = 4
/
ATOMIC_SPECIES
Ba 137.33 Ba.upf
Pr 140.91 Pr.upf
Zn 65.41 Zn.upf
In 114.82 In.upf
CELL_PARAMETERS angstrom
0.000 4.009 4.009
4.009 0.000 4.009
4.009 4.009 0.000
ATOMIC_POSITIONS angstrom
Ba 0.000 0.000 0.000
Pr 4.009 4.009 4.009
Zn 6.014 6.014 6.014
In 2.005 2.005 2.005
! Fermi-level density of states	0.999	states/eV per atom
! formation energy from the elements	-22.5	kJ/mol of atoms



15.
! GGA-PBE ThMgZn2, relaxed; values from VASP
&SYSTEM
  ibrav = 0, nat = 4, ntyp = 3
/
ATOMIC_SPECIES
Th 232.04 Th.upf
Mg 24.30 Mg.upf
Zn 65.41 Zn.upf
CELL_PARAMETERS angstrom
4.847 0.000 0.000
0.000 4.847 0.000
0.000 0.000 3.869
ATOMIC_POSITIONS angstrom
Th 0.000 0.000 0.000
Mg 2.423 2.423 0.000
Zn 0.000 2.423 1.934
Zn 2.423 0.000 1.934
! E above lowest polymorph	0.127	eV/atom
! Fermi-level density of states	0.921	states/eV per atom
! formation energy from the elements	-8.2	kJ/mol of atoms



16.
! GGA-PBE Mg2BiSb2, relaxed; values from VASP
&SYSTEM
  ibrav = 0, nat = 10, ntyp = 3
/
ATOMIC_SPECIES
Mg 24.30 Mg.upf
Bi 208.98 Bi.upf
Sb 121.76 Sb.upf
CELL_PARAMETERS angstrom
8.229 0.000 0.000
0.000 8.229 0.000
0.000 0.000 3.823
ATOMIC_POSITIONS angstrom
Mg 1.058 3.057 0.000
Mg 3.057 7.171 0.000
Mg 5.173 1.058 0.000
Mg 7.171 5.173 0.000
Bi 0.000 0.000 0.000
Bi 4.115 4.115 0.000
Sb 1.424 5.539 1.912
Sb 2.691 1.424 1.912
Sb 5.539 6.806 1.912
Sb 6.806 2.691 1.912
! formation energy without anion corrections	-0.045	eV per atom
! E above lowest polymorph	0.065	eV/atom
! Fermi-level density of states	0.613	states/eV per atom



17.
! GGA-PBE PmSn7, relaxed; values from VASP
&SYSTEM
  ibrav = 0, nat = 8, ntyp = 2
/
ATOMIC_SPECIES
Pm 145.00 Pm.upf
Sn 118.71 Sn.upf
CELL_PARAMETERS angstrom
0.000 4.781 4.781
4.781 0.000 4.781
4.781 4.781 0.000
ATOMIC_POSITIONS angstrom
Pm 0.000 0.000 0.000
Sn 2.390 2.390 0.000
Sn 2.390 0.000 2.390
Sn 4.781 2.390 2.390
Sn 0.000 2.390 2.390
Sn 2.390 4.781 2.390
Sn 2.390 2.390 4.781
Sn 4.781 4.781 4.781
! Fermi-level density of states	0.804	states/eV per atom
! formation energy from the elements	-18.4	kJ/mol of atoms



18.
! GGA-PBE BeFeRu2, relaxed; values from VASP
&SYSTEM
  ibrav = 0, nat = 4, ntyp = 3
/
ATOMIC_SPECIES
Be 9.01 Be.upf
Fe 55.84 Fe.upf
Ru 101.07 Ru.upf
CELL_PARAMETERS angstrom
2.693 0.000 0.000
0.000 2.693 0.000
0.000 0.000 6.393
ATOMIC_POSITIONS angstrom
Be 0.000 0.000 0.000
Fe 1.347 1.347 1.303
Ru 0.000 0.000 3.046
Ru 1.347 1.347 4.932
! Fermi-level density of states	0.894	states/eV per atom
! formation energy from the elements	-3.0	kJ/mol of atoms



19.
! GGA-PBE Na2SrGd, relaxed; values from VASP
&SYSTEM
  ibrav = 0, nat = 4, ntyp = 3
/
ATOMIC_SPECIES
Na 22.99 Na.upf
Sr 87.62 Sr.upf
Gd 157.25 Gd.upf
CELL_PARAMETERS angstrom
1.868 1.079 13.852
-1.868 1.079 13.852
0.000 -2.157 13.852
ATOMIC_POSITIONS angstrom
Na 0.000 0.000 3.553
Na 0.000 0.000 38.003
Sr 0.000 0.000 20.778
Gd 0.000 0.000 0.000
! Fermi-level density of states	2.010	states/eV per atom
! formation energy from the elements	30.0	kJ/mol of atoms



20.
! GGA-PBE HoMgMo, relaxed; values from VASP
&SYSTEM
  ibrav = 0, nat = 6, ntyp = 3
/
ATOMIC_SPECIES
Ho 164.93 Ho.upf
Mg 24.30 Mg.upf
Mo 95.94 Mo.upf
CELL_PARAMETERS angstrom
0.000 3.566 8.495
2.562 0.000 8.495
2.562 3.566 0.000
ATOMIC_POSITIONS angstrom
Ho 2.562 3.566 1.696
Ho 2.562 3.566 15.295
Mg 1.281 1.783 4.248
Mg 3.844 5.348 12.743
Mo 2.562 2.402 8.495
Mo 2.562 4.729 8.495
! Fermi-level density of states	0.871	states/eV per atom
! formation energy from the elements	50.4	kJ/mol of atoms



We obtain M_tot values of 0.000; 0.000; 0.000; 0.000; 0.000; 0.000; 0.000; 0.000; 0.000; 0.000; 0.000; 0.000; 1.201; 0.000; 0.000; 0.000; 0.000; 0.337; 2.053; 0.000 μB per atom for the records listed above, in that order.
We obtain final energy values of -14.883; -19.329; -25.413; -44.541; -119.523; -110.647; -34.920; -59.459; -13.272; -12.030; -66.378; -102.465; -14.092; -11.649; -11.903; -31.084; -34.300; -30.864; -17.158; -30.871 eV for the cell shown for the records listed above, in that order.